[1]
A plane-wave DFT calculation with PBE was carried out for an optimized crystal structure of TiMnAl.

The structure in CIF format:
```
data_TiMnAl
_chemical_formula_sum 'Ti4 Mn4 Al4'
_symmetry_space_group_name_H-M 'P 1'
_symmetry_Int_Tables_number 1
_cell_length_a 4.915
_cell_length_b 4.915
_cell_length_c 8.122
_cell_angle_alpha 90.00
_cell_angle_beta 90.00
_cell_angle_gamma 119.39
loop_
_symmetry_equiv_pos_as_xyz
'x,y,z'
loop_
_atom_site_label
_atom_site_fract_x
_atom_site_fract_y
_atom_site_fract_z
_atom_site_occupancy
Ti1 0.664 0.336 0.302 1
Ti2 0.329 0.671 0.175 1
Ti3 0.329 0.671 0.825 1
Ti4 0.664 0.336 0.698 1
Mn1 0.165 0.835 0.500 1
Mn2 0.364 0.175 0.000 1
Mn3 0.825 0.636 0.000 1
Mn4 0.828 0.172 0.000 1
Al1 0.007 0.993 0.240 1
Al2 0.007 0.993 0.760 1
Al3 0.654 0.835 0.500 1
Al4 0.165 0.346 0.500 1
```

Values from the calculation:
SG = Amm2, No. 38
ρ = 5044 kg/m³
Energy = -86.8 eV/cell
DFT formation energy = -0.301 eV/atom

---

[2]
A plane-wave DFT calculation with PBE was carried out for an optimized crystal structure of Ti2Mn3Al.

The structure in CIF format:
```
data_Ti2Mn3Al
_chemical_formula_sum 'Ti2 Mn3 Al1'
_symmetry_space_group_name_H-M 'P 1'
_symmetry_Int_Tables_number 1
_cell_length_a 3.014
_cell_length_b 3.014
_cell_length_c 8.784
_cell_angle_alpha 90.00
_cell_angle_beta 90.00
_cell_angle_gamma 90.00
loop_
_symmetry_equiv_pos_as_xyz
'x,y,z'
loop_
_atom_site_label
_atom_site_fract_x
_atom_site_fract_y
_atom_site_fract_z
_atom_site_occupancy
Ti1 0.500 0.500 0.831 1
Ti2 0.500 0.500 0.169 1
Mn1 0.000 0.000 0.000 1
Mn2 0.000 0.000 0.665 1
Mn3 0.000 0.000 0.335 1
Al1 0.500 0.500 0.500 1
```

Values from the calculation:
SG = P4/mmm, No. 123
ρ = 5984 kg/m³
Energy = -48.6 eV/cell
DFT formation energy = -0.257 eV/atom

---

Which N(E_F) belongs to each record? In order, 11.06, 4.77 states/eV per cell.